# TaRePS2

Crystalline TaRePS2 at its relaxed geometry (PBE-GGA, the Alexandria database).

It has space group P4/mmm (No. 123), with a = 4.512 Å, b = 4.512 Å, c = 4.704 Å, α = 90.00°, β = 90.00° and γ = 90.00°. The asymmetric unit holds Ta at (0.000, 0.000, 0.000), Re at (0.500, 0.500, 0.500), P at (0.500, 0.500, 0.000) and S at (0.000, 0.500, 0.500).

The calculation puts the electronic total energy at -6.575 eV per atom. As for the crystal system: tetragonal. The calculation puts the energy relative to the elements, uncorrected at 1.018 eV per atom. The value obtained for the energy above the lowest structure with this stoichiometry is 0.084 eV/atom. Its calculated volume is 96 Å³ per cell.